(1)
Be2ZnIr | Alexandria | PBE | optimized geometry; space group = Imm2, No. 44
1.0
-1.377 3.175 -3.125
-3.003 0.746 -3.488
-3.074 1.905 1.031
Be Zn Ir
2 1 1
Direct
0.989 0.989 0.011
0.252 0.252 0.248
0.745 0.745 0.755
0.514 0.514 0.486

---

(2)
BeZnIr2 | Alexandria | PBE | optimized geometry; space group = P4/mmm, No. 123; energy above the most stable polymorph in this dataset = 79 meV/atom
1.0
2.941 0.000 0.000
0.000 4.153 0.000
0.000 0.000 4.153
Ir Be Zn
2 1 1
Direct
0.000 0.500 0.500
0.000 0.000 0.000
0.500 0.000 0.500
0.500 0.500 0.000

---

(3)
Be4ZnIr | Alexandria | PBE | optimized geometry; space group = F-43m, No. 216
1.0
4.344 0.000 0.000
2.172 3.762 0.000
2.172 1.254 3.547
Ir Be Zn
1 4 1
Direct
0.250 0.250 0.250
0.624 0.127 0.624
0.624 0.624 0.624
0.127 0.624 0.624
0.624 0.624 0.127
0.000 0.000 0.000

---

(4)
BeZnIr | Alexandria | PBE | optimized geometry; space group = P2_1/m, No. 11; energy above the most stable polymorph in this dataset = 65 meV/atom
1.0
2.925 -0.011 -0.102
0.001 4.012 -0.406
-1.261 -3.368 6.756
Ir Zn Be
2 2 2
Direct
0.620 0.992 0.742
0.380 0.008 0.258
0.066 0.384 0.634
0.934 0.616 0.366
0.732 0.719 0.969
0.268 0.281 0.031

---

(5)
BeZnIr2 | Alexandria | PBE | optimized geometry; space group = F-43m, No. 216; energy above the most stable polymorph in this dataset = 400 meV/atom
1.0
-3.091 1.468 2.501
-3.748 -1.975 0.119
-1.142 -2.173 3.455
Ir Be Zn
2 1 1
Direct
0.000 0.000 0.000
0.250 0.250 0.250
0.500 0.500 0.500
0.750 0.750 0.750

---

(6)
BeZnIr2 | Alexandria | PBE | optimized geometry; space group = I-4m2, No. 119; energy above the most stable polymorph in this dataset = 288 meV/atom
1.0
4.691 0.015 0.000
1.797 4.333 0.000
-3.244 -2.174 2.599
Ir Be Zn
2 1 1
Direct
0.000 0.000 0.000
0.250 0.750 0.500
0.750 0.250 0.500
0.500 0.500 0.000

---

Number 1: N(E_F) 0.5 states/eV per cell, VASP energy -18.96 eV/cell, formation energy -132 kJ/mol of formula units. Number 2: N(E_F) 3.7 states/eV per cell, VASP energy -23.61 eV/cell, formation energy -86 kJ/mol of formula units. Number 3: N(E_F) 1.9 states/eV per cell, VASP energy -27.20 eV/cell, formation energy -208 kJ/mol of formula units. Number 4: N(E_F) 1.4 states/eV per cell, VASP energy -29.63 eV/cell, formation energy -92 kJ/mol of formula units. Number 5: N(E_F) 5.1 states/eV per cell, VASP energy -22.33 eV/cell, formation energy 38 kJ/mol of formula units. Number 6: N(E_F) 4.1 states/eV per cell, VASP energy -22.78 eV/cell, formation energy -6 kJ/mol of formula units.